Record 1
Entry from the Alexandria database: an optimized crystal structure of SiTe (PBE).

E_form (uncorrected) = 31.3 kJ/mol of atoms
DOS at the Fermi energy = 0.7 states/eV/f.u.
Magnetic moment = 0.00 μB per atom
Electronic total energy = -31.66 eV for the cell shown

Lattice parameters (Å, degrees): 8.1925 3.9209 6.9694 90.00 90.00 90.00
Fractional coordinates of all 8 atoms:
Si: 0.1772 0.2500 0.0903
Si: 0.3228 0.7500 0.5903
Si: 0.6772 0.2500 0.4097
Si: 0.8228 0.7500 0.9097
Te: 0.0064 0.2500 0.7503
Te: 0.4936 0.7500 0.2503
Te: 0.5064 0.2500 0.7497
Te: 0.9936 0.7500 0.2497

---

Record 2
Entry from the Alexandria database: an optimized crystal structure of PmPr2NdHo2 (PBE).

DOS at the Fermi energy = 9.2 states/eV/f.u.
E_form = 0.064 eV/atom
Magnetic moment = 0.00 μB per atom
Electronic total energy = -55.69 eV for the cell shown

Lattice parameters (Å, degrees): 7.0940 5.7584 9.9613 90.00 90.00 90.00
Fractional coordinates of all 12 atoms:
Pm: 0.0000 0.0000 0.0000
Pm: 0.5000 0.0000 0.0000
Pr: 0.0000 0.5000 0.5000
Pr: 0.2500 0.0000 0.3311
Pr: 0.5000 0.5000 0.5000
Pr: 0.7500 0.0000 0.6689
Nd: 0.2500 0.5000 0.8349
Nd: 0.7500 0.5000 0.1651
Ho: 0.2500 0.0000 0.6667
Ho: 0.2500 0.5000 0.1662
Ho: 0.7500 0.0000 0.3333
Ho: 0.7500 0.5000 0.8338

---

Record 3
Entry from the Alexandria database: an optimized crystal structure of CrIr2Pb (PBE).

DOS at the Fermi energy = 3.8 states/eV/f.u.
E_form = 0.243 eV/atom
Magnetic moment = 0.50 μB per atom
Electronic total energy = -30.08 eV for the cell shown

Lattice parameters (Å, degrees): 2.9730 3.0504 7.6097 90.00 97.35 90.00
Fractional coordinates of all 4 atoms:
Cr: 0.0000 0.0000 0.0000
Ir: 0.4315 0.5000 0.8041
Ir: 0.5685 0.5000 0.1959
Pb: 0.0000 0.0000 0.5000